(1)
# InAsSe2 meta-GGA SCAN PBEsol geometry
data_InAsSe2
_cell_length_a 7.121
_cell_length_b 7.121
_cell_length_c 7.121
_cell_angle_alpha 32.61
_cell_angle_beta 32.61
_cell_angle_gamma 32.61
_space_group_name_H-M_alt 'P 1'
_space_group_IT_number 1
_space_group_name_Hall 'P 1'
loop_
_atom_site_label
_atom_site_type_symbol
_atom_site_fract_x
_atom_site_fract_y
_atom_site_fract_z
In1 In 0.000 0.000 0.000
As1 As 0.500 0.500 0.500
Se1 Se 0.240 0.240 0.240
Se2 Se 0.760 0.760 0.760
# ρ = 6.19 g cm⁻³
# Total moment = 0.0 μB/f.u.
# E_form (uncorrected) = -0.182 eV/atom



(2)
# NaLa3Os meta-GGA SCAN PBEsol geometry
data_NaLa3Os
_cell_length_a 5.629
_cell_length_b 5.629
_cell_length_c 5.629
_cell_angle_alpha 90.00
_cell_angle_beta 90.00
_cell_angle_gamma 90.00
_space_group_name_H-M_alt 'P 1'
_space_group_IT_number 1
_space_group_name_Hall 'P 1'
loop_
_atom_site_label
_atom_site_type_symbol
_atom_site_fract_x
_atom_site_fract_y
_atom_site_fract_z
Na1 Na 0.000 0.000 0.000
La1 La 0.000 0.500 0.500
La2 La 0.500 0.000 0.500
La3 La 0.500 0.500 0.000
Os1 Os 0.500 0.500 0.500
# ρ = 5.86 g cm⁻³
# Total moment = 0.0 μB/f.u.
# Energy relative to the elements = -130.9 meV/atom



(3)
# FeSbSe2N meta-GGA SCAN PBEsol geometry
data_FeSbSe2N
_cell_length_a 5.252
_cell_length_b 5.252
_cell_length_c 3.864
_cell_angle_alpha 90.00
_cell_angle_beta 90.00
_cell_angle_gamma 90.00
_space_group_name_H-M_alt 'P 1'
_space_group_IT_number 1
_space_group_name_Hall 'P 1'
loop_
_atom_site_label
_atom_site_type_symbol
_atom_site_fract_x
_atom_site_fract_y
_atom_site_fract_z
Fe1 Fe 0.000 0.000 0.000
Sb1 Sb 0.500 0.500 0.500
Se1 Se 0.000 0.500 0.500
Se2 Se 0.500 0.000 0.500
N1 N 0.500 0.500 0.000
# ρ = 5.45 g cm⁻³
# Total moment = 4.3 μB/f.u.
# E_form (uncorrected) = 1.038 eV/atom



(4)
# KZn3Pb meta-GGA SCAN PBEsol geometry
data_KZn3Pb
_cell_length_a 5.474
_cell_length_b 5.474
_cell_length_c 5.474
_cell_angle_alpha 90.00
_cell_angle_beta 90.00
_cell_angle_gamma 90.00
_space_group_name_H-M_alt 'P 1'
_space_group_IT_number 1
_space_group_name_Hall 'P 1'
loop_
_atom_site_label
_atom_site_type_symbol
_atom_site_fract_x
_atom_site_fract_y
_atom_site_fract_z
K1 K 0.000 0.000 0.000
Zn1 Zn 0.000 0.500 0.500
Zn2 Zn 0.500 0.000 0.500
Zn3 Zn 0.500 0.500 0.000
Pb1 Pb 0.500 0.500 0.500
# ρ = 4.48 g cm⁻³
# Total moment = 0.0 μB/f.u.
# Energy relative to the elements = 387.6 meV/atom



Calculated total energy, respectively: -23.616 -41.213 -19.930 -24.543 eV/atom.
DOS(E_F), respectively: 0.09 0.72 0.46 0.79 states/eV/atom.